## one
VASP calculation (GGA-PBE) on crystalline Rb2SrTlBr6 at its relaxed geometry.

a = 8.421 Å, b = 8.421 Å, c = 8.419 Å
α = 59.99°, β = 59.99°, γ = 90.00°
Positions (direct):
Br1 0.752 0.752 0.000
Br2 0.752 0.752 0.497
Br3 0.752 0.248 0.000
Br4 0.248 0.248 0.503
Br5 0.248 0.752 0.000
Br6 0.248 0.248 0.000
Rb1 0.250 0.750 0.500
Rb2 0.750 0.250 0.500
Tl1 0.000 0.000 0.000
Sr1 0.500 0.500 0.000

## Properties
Total magnetic moment (μB/atom): 0.000

=====

## two
VASP calculation (GGA-PBE) on crystalline Rb2SrTlBr6 at its relaxed geometry.

a = 8.051 Å, b = 8.475 Å, c = 11.579 Å
α = 90.00°, β = 90.62°, γ = 90.00°
Positions (direct):
Rb1 0.473 0.424 0.252
Rb2 0.527 0.576 0.748
Rb3 0.973 0.076 0.752
Rb4 0.027 0.924 0.248
Br1 0.196 0.199 0.444
Br2 0.390 0.968 0.748
Br3 0.804 0.801 0.556
Br4 0.306 0.699 0.445
Br5 0.696 0.301 0.944
Br6 0.806 0.801 0.945
Br7 0.194 0.199 0.055
Br8 0.694 0.301 0.555
Br9 0.890 0.532 0.248
Br10 0.110 0.468 0.752
Br11 0.610 0.032 0.252
Br12 0.304 0.699 0.056
Tl1 0.500 0.000 0.500
Tl2 0.000 0.500 0.000
Sr1 0.000 0.500 0.500
Sr2 0.500 0.000 0.000

## Properties
Total magnetic moment (μB/atom): 0.000

=====

Relative to the most stable one, in meV/atom, the structures come out at one 50; two 0.